Compound: Sm5Ho6Sc2
Source: the Alexandria database
Functional: PBE-GGA
Structure: optimized geometry

a b c (Å): 11.266 20.282 3.576
angles (deg): 90.00 90.00 90.00
Space group Pbam (No. 55)
One atom of each set of equivalent atoms:
Sm 0.000 0.000 0.000 [2 per cell]
Sm 0.062 0.423 0.000 [4 per cell]
Sm 0.147 0.722 0.000 [4 per cell]
Ho 0.080 0.155 0.000 [4 per cell]
Ho 0.167 0.883 0.500 [4 per cell]
Ho 0.221 0.555 0.500 [4 per cell]
Sc 0.112 0.286 0.500 [4 per cell]

Properties
total magnetic moment: 0.00 Bohr magnetons per cell
DFT total energy: -4.8462 eV per atom
energy relative to the elements: 55.7 meV/atom

Compound: CdCu2I
Source: the Alexandria database
Functional: PBE-GGA
Structure: optimized geometry

a b c (Å): 6.908 6.908 6.908
angles (deg): 90.00 90.00 90.00
Space group Fm-3m (No. 225)
One atom of each set of equivalent atoms:
Cd 0.000 0.000 0.000 [4 per cell]
Cu 0.250 0.250 0.250 [8 per cell]
I 0.000 0.000 0.500 [4 per cell]

Properties
total magnetic moment: 0.00 Bohr magnetons per cell
DFT total energy: -2.0726 eV per atom
E above lowest polymorph: 191 meV/atom

Compound: Nd7AlTl5
Source: the Alexandria database
Functional: PBE-GGA
Structure: optimized geometry

a b c (Å): 6.760 10.809 11.116
angles (deg): 90.00 90.00 90.00
Space group Imm2 (No. 44)
One atom of each set of equivalent atoms:
Nd 0.000 0.000 0.000 [2 per cell]
Nd 0.000 0.000 0.371 [2 per cell]
Nd 0.000 0.311 0.598 [4 per cell]
Nd 0.000 0.329 0.081 [4 per cell]
Nd 0.000 0.500 0.324 [2 per cell]
Al 0.000 0.000 0.660 [2 per cell]
Tl 0.000 0.500 0.832 [2 per cell]
Tl 0.239 0.237 0.843 [8 per cell]

Properties
total magnetic moment: 0.00 Bohr magnetons per cell
DFT total energy: -3.9199 eV per atom
energy relative to the elements: -154.6 meV/atom

Compound: PmMgTlCd
Source: the Alexandria database
Functional: PBE-GGA
Structure: optimized geometry

a b c (Å): 7.434 7.434 7.434
angles (deg): 90.00 90.00 90.00
Space group F-43m (No. 216)
One atom of each set of equivalent atoms:
Pm 0.000 0.000 0.000 [4 per cell]
Mg 0.000 0.000 0.500 [4 per cell]
Tl 0.250 0.250 0.250 [4 per cell]
Cd 0.250 0.250 0.750 [4 per cell]

Properties
total magnetic moment: 0.00 Bohr magnetons per cell
DFT total energy: -2.7049 eV per atom
energy relative to the elements: -298.2 meV/atom

Compound: Tl2PbI
Source: the Alexandria database
Functional: PBE-GGA
Structure: optimized geometry

a b c (Å): 3.830 3.830 9.351
angles (deg): 90.00 90.00 90.00
Space group P4/mmm (No. 123)
One atom of each set of equivalent atoms:
Tl 0.000 0.000 0.248 [2 per cell]
Pb 0.500 0.500 0.500 [1 per cell]
I 0.500 0.500 0.000 [1 per cell]

Properties
total magnetic moment: 0.00 Bohr magnetons per cell
DFT total energy: -2.6002 eV per atom
E above lowest polymorph: 52 meV/atom

Compound: Li3Ag2Au4
Source: the Alexandria database
Functional: PBE-GGA
Structure: optimized geometry

a b c (Å): 13.550 8.376 5.592
angles (deg): 90.00 103.58 90.00
Space group C2/c (No. 15)
One atom of each set of equivalent atoms:
Li 0.000 0.013 0.250 [4 per cell]
Li 0.157 0.496 0.337 [8 per cell]
Ag 0.169 0.167 0.829 [8 per cell]
Au 0.001 0.323 0.000 [8 per cell]
Au 0.174 0.167 0.330 [8 per cell]

Properties
total magnetic moment: 0.00 Bohr magnetons per cell
DFT total energy: -3.0363 eV per atom
E above lowest polymorph: 42 meV/atom
energy relative to the elements: -308.2 meV/atom

Compound: KRu2W
Source: the Alexandria database
Functional: PBE-GGA
Structure: optimized geometry

a b c (Å): 7.315 7.315 6.295
angles (deg): 90.00 90.00 90.00
Space group I-42d (No. 122)
One atom of each set of equivalent atoms:
K 0.000 0.000 0.000 [4 per cell]
Ru 0.188 0.250 0.625 [8 per cell]
W 0.000 0.000 0.500 [4 per cell]

Properties
total magnetic moment: 0.00 Bohr magnetons per cell
DFT total energy: -6.8940 eV per atom
E above lowest polymorph: 660 meV/atom
energy relative to the elements: 1256.5 meV/atom

Compound: KRhSe2
Source: the Alexandria database
Functional: PBE-GGA
Structure: optimized geometry

a b c (Å): 4.165 4.165 9.701
angles (deg): 90.00 90.00 90.00
Space group I-4m2 (No. 119)
One atom of each set of equivalent atoms:
K 0.000 0.000 0.000 [2 per cell]
Rh 0.000 0.500 0.750 [2 per cell]
Se 0.000 0.000 0.500 [2 per cell]
Se 0.000 0.500 0.250 [2 per cell]

Properties
total magnetic moment: 0.00 Bohr magnetons per cell
DFT total energy: -3.6202 eV per atom